VASP calculation (PBE with a Hubbard U) on an optimized crystal structure of Na3NiPCO7.

Summary:
N(E_F)	0.0000	states/eV per atom
energy above the lowest structure with this stoichiometry	0.000	eV per atom
calculated density	3.0	g cm⁻³

abc: 5.195 6.675 8.892
angles: 90.00 91.17 90.00
Each line ends with the local moment (μB).
Fractional coordinates of all 26 atoms:
P  0.713  0.750  0.084  0.01
O  0.584  0.250  0.950  0.02
O  0.215  0.436  0.817  0.02
Ni  0.780  0.250  0.151  1.79
O  0.144  0.250  0.067  0.02
C  0.722  0.250  0.436  0.00
O  0.856  0.750  0.933  0.02
Na  0.253  0.507  0.229  0.00
O  0.300  0.750  0.419  0.00
O  0.480  0.750  0.653  0.02
Na  0.769  0.750  0.418  0.00
O  0.520  0.250  0.347  0.02
O  0.785  0.564  0.183  0.02
O  0.416  0.750  0.050  0.02
O  0.215  0.064  0.817  0.02
Ni  0.220  0.750  0.849  1.79
O  0.785  0.936  0.183  0.02
Na  0.747  0.007  0.771  0.00
Na  0.253  0.993  0.229  0.00
C  0.278  0.750  0.564  0.00
P  0.287  0.250  0.916  0.01
O  0.052  0.750  0.626  0.03
O  0.948  0.250  0.374  0.03
Na  0.231  0.250  0.582  0.00
O  0.700  0.250  0.581  0.00
Na  0.747  0.493  0.771  0.00